(1)
VASP calculation (GGA-PBE) on a geometry-optimized Ac2PdO5 structure.

For the calculated density, the calculation gives 8.9 g cm⁻³. The total energy comes out at -6.990 eV/atom. For the density of states at the Fermi level, the calculation gives 7.1 states/eV/f.u. Its uncorrected formation energy is -2.215 eV per atom.

a b c (Å): 5.880 5.921 7.479
angles (deg): 93.26 113.15 90.00
Site moments in Bohr magnetons follow the coordinates.
Fractional coordinates of all 16 atoms:
1 O 0.815 0.716 0.555  0.02
2 O 0.453 0.462 0.212  0.06
3 O 0.547 0.538 0.788  0.06
4 O 0.740 0.216 0.555  0.02
5 O 0.260 0.784 0.445  0.02
6 O 0.185 0.284 0.445  0.02
7 O 0.022 0.750 0.000  0.06
8 O 0.241 0.038 0.788  0.06
9 O 0.759 0.962 0.212  0.06
10 O 0.978 0.250 0.000  0.06
11 Pd 0.000 0.000 0.500  0.07
12 Pd 0.500 0.500 0.500  0.07
13 Ac 0.668 0.971 0.799  0.01
14 Ac 0.332 0.029 0.201  0.01
15 Ac 0.869 0.529 0.201  0.01
16 Ac 0.131 0.471 0.799  0.01



(2)
VASP calculation (GGA-PBE) on a geometry-optimized Ac3PdO7 structure.

For the calculated density, the calculation gives 8.5 g cm⁻³. The total energy comes out at -7.140 eV/atom. For the density of states at the Fermi level, the calculation gives 9.6 states/eV/f.u. Its uncorrected formation energy is -2.392 eV per atom.

a b c (Å): 6.980 6.980 7.853
angles (deg): 90.00 90.00 113.58
Site moments in Bohr magnetons follow the coordinates.
Fractional coordinates of all 22 atoms:
1 O 0.443 0.192 0.044  0.06
2 O 0.808 0.557 0.956  0.06
3 O 0.833 0.094 0.250  0.03
4 O 0.557 0.808 0.956  0.06
5 O 0.192 0.443 0.456  0.06
6 O 0.094 0.833 0.250  0.03
7 O 0.557 0.808 0.544  0.06
8 O 0.906 0.167 0.750  0.03
9 O 0.409 0.409 0.750  0.02
10 O 0.591 0.591 0.250  0.02
11 O 0.167 0.906 0.750  0.03
12 O 0.808 0.557 0.544  0.06
13 O 0.443 0.192 0.456  0.06
14 O 0.192 0.443 0.044  0.06
15 Ac 0.542 0.110 0.750  0.01
16 Ac 0.000 0.000 0.000  0.00
17 Ac 0.890 0.458 0.250  0.01
18 Ac 0.458 0.890 0.250  0.01
19 Ac 0.000 0.000 0.500  0.00
20 Ac 0.110 0.542 0.750  0.01
21 Pd 0.500 0.500 0.500  0.09
22 Pd 0.500 0.500 0.000  0.09



(3)
VASP calculation (GGA-PBE) on a geometry-optimized AcPdO4 structure.

For the calculated density, the calculation gives 6.8 g cm⁻³. The total energy comes out at -6.341 eV/atom. For the density of states at the Fermi level, the calculation gives 4.7 states/eV/f.u. The energy above the most stable polymorph in this dataset comes out at 0.000 eV per formula unit. Its uncorrected formation energy is -1.485 eV per atom.

a b c (Å): 6.155 7.372 6.005
angles (deg): 112.89 104.07 116.04
Site moments in Bohr magnetons follow the coordinates.
Fractional coordinates of all 12 atoms:
1 O 0.153 0.154 0.280  0.06
2 O 0.373 0.875 0.720  0.06
3 O 0.405 0.299 0.006  0.25
4 O 0.899 0.293 0.994  0.25
5 O 0.101 0.707 0.006  0.25
6 O 0.627 0.125 0.280  0.06
7 O 0.847 0.846 0.720  0.06
8 O 0.595 0.701 0.994  0.25
9 Pd 0.246 0.996 0.992  0.27
10 Pd 0.754 0.004 0.008  0.27
11 Ac 0.608 0.358 0.717  0.01
12 Ac 0.392 0.642 0.283  0.01



(4)
VASP calculation (GGA-PBE) on a geometry-optimized AcPdO4 structure.

For the calculated density, the calculation gives 7.9 g cm⁻³. The total energy comes out at -6.337 eV/atom. For the density of states at the Fermi level, the calculation gives 2.0 states/eV/f.u. The energy above the most stable polymorph in this dataset comes out at 0.024 eV per formula unit. Its uncorrected formation energy is -1.481 eV per atom.

a b c (Å): 5.958 6.105 6.098
angles (deg): 116.15 90.00 119.20
Fractional coordinates of all 12 atoms:
1 Ac 0.203 0.000 0.750
2 Ac 0.797 0.000 0.250
3 O 0.681 0.101 0.886
4 O 0.797 0.643 0.824
5 O 0.846 0.643 0.324
6 O 0.154 0.357 0.676
7 O 0.319 0.899 0.114
8 O 0.580 0.899 0.614
9 O 0.420 0.101 0.386
10 O 0.203 0.357 0.176
11 Pd 0.500 0.500 0.500
12 Pd 0.000 0.500 0.000



> Among the records above, which one has the lowest calculated density?

number 3



> Among the records above, which one has the lowest calculated density?

number 3



> Which value of calculated density does entry 3 give?

6.8 g cm⁻³